Record 1
VASP calculation (PBE-GGA) on a geometry-optimized SmThIr structure.

Summary:
The relative energy among the computed polymorphs comes out at 42 kJ/mol of formula units. The value obtained for the size of the total moment is 0.0 μB/cell. The calculation puts the calculated formation energy at -0.5076 eV/atom.

a b c (Å): 7.106 5.999 10.467
angles (deg): 90.00 127.96 90.00
Space group P2_1/c (No. 14)
Inequivalent atoms, fractional coordinates:
Sm 0.197 0.138 0.375 [4 per cell]
Th 0.327 0.634 0.626 [4 per cell]
Ir 0.322 0.649 0.356 [4 per cell]



Record 2
VASP calculation (PBE-GGA) on a geometry-optimized Sm5ThIr4 structure.

Summary:
The value obtained for the size of the total moment is 0.0 μB/cell. The calculation puts the calculated formation energy at -0.6573 eV/atom.

a b c (Å): 18.550 4.248 7.682
angles (deg): 90.00 114.37 90.00
Space group C2/m (No. 12)
Inequivalent atoms, fractional coordinates:
Sm 0.000 0.000 0.000 [2 per cell]
Sm 0.166 0.500 0.424 [4 per cell]
Sm 0.166 0.500 0.909 [4 per cell]
Th 0.000 0.000 0.500 [2 per cell]
Ir 0.000 0.500 0.249 [4 per cell]
Ir 0.195 0.000 0.695 [4 per cell]



Record 3
VASP calculation (PBE-GGA) on a geometry-optimized SmThTlIr structure.

Summary:
The value obtained for the size of the total moment is 0.0 μB/cell. The calculation puts the calculated formation energy at -0.5424 eV/atom.

a b c (Å): 7.092 4.097 8.551
angles (deg): 90.00 106.14 90.00
Space group Cm (No. 8)
Inequivalent atoms, fractional coordinates:
Sm 0.000 0.000 0.000 [2 per cell]
Th 0.205 0.000 0.617 [2 per cell]
Tl 0.268 0.500 0.304 [2 per cell]
Ir 0.099 0.500 0.800 [2 per cell]



Record 4
VASP calculation (PBE-GGA) on a geometry-optimized SmTi2Ir2 structure.

Summary:
The value obtained for the size of the total moment is 0.0 μB/cell. The calculation puts the calculated formation energy at -0.8048 eV/atom.

a b c (Å): 4.272 4.272 10.785
angles (deg): 90.00 90.00 90.00
Space group I4/mmm (No. 139)
Inequivalent atoms, fractional coordinates:
Sm 0.000 0.000 0.000 [2 per cell]
Ti 0.000 0.500 0.250 [4 per cell]
Ir 0.000 0.000 0.379 [4 per cell]



Record 5
VASP calculation (PBE-GGA) on a geometry-optimized SmTi2Ir3 structure.

Summary:
The value obtained for the size of the total moment is 0.0 μB/cell. The calculation puts the calculated formation energy at -0.7817 eV/atom.

a b c (Å): 3.084 3.084 10.728
angles (deg): 90.00 90.00 90.00
Space group P4/mmm (No. 123)
Inequivalent atoms, fractional coordinates:
Sm 0.000 0.000 0.000 [1 per cell]
Ti 0.000 0.000 0.346 [2 per cell]
Ir 0.500 0.500 0.212 [2 per cell]
Ir 0.500 0.500 0.500 [1 per cell]



Record 6
VASP calculation (PBE-GGA) on a geometry-optimized Sm2TiIr2 structure.

Summary:
The value obtained for the size of the total moment is 0.0 μB/cell. The calculation puts the calculated formation energy at -0.5808 eV/atom.

a b c (Å): 7.409 10.955 5.828
angles (deg): 90.00 90.00 90.00
Space group Ibam (No. 72)
Inequivalent atoms, fractional coordinates:
Sm 0.147 0.163 0.000 [8 per cell]
Ti 0.000 0.500 0.250 [4 per cell]
Ir 0.244 0.414 0.000 [8 per cell]